TcMoF (PBE+U, relaxed); offset from the most stable computed form = 77 meV/atom; electronic total energy = -78.7 eV for the cell shown; symmetry = Fmm2 (42)
1.0
-0.452 1.539 2.628
-2.322 -3.572 1.692
10.585 -4.712 4.579
Mo F Tc
4 4 4
Direct
0.500 0.500 0.008
0.000 0.000 0.008
0.000 0.500 0.508
0.500 0.000 0.508
0.500 0.000 0.675
0.000 0.500 0.675
0.500 0.500 0.175
0.000 0.000 0.175
0.000 0.000 0.344
0.000 0.500 0.844
0.500 0.000 0.844
0.500 0.500 0.344